# VAs2BrO PBE with a Hubbard U relaxed
data_VAs2BrO
_chemical_formula_sum 'V1 As2 Br1 O1'
_symmetry_space_group_name_H-M 'P 4/m m m'
_symmetry_Int_Tables_number 123
_symmetry_space_group_name_Hall '-P 4 2'
_cell_length_a 4.826
_cell_length_b 4.826
_cell_length_c 5.110
_cell_angle_alpha 90.00
_cell_angle_beta 90.00
_cell_angle_gamma 90.00
loop_
_atom_site_label
_atom_site_fract_x
_atom_site_fract_y
_atom_site_fract_z
V1 0.000 0.000 0.000
As1 0.000 0.500 0.000
Br1 0.000 0.000 0.500
O1 0.500 0.500 0.500
# E_tot ... -0.1409 Ha/atom
# Fermi-level density of states ... 1.038 states/eV/atom